Computed, not measured: a relaxed structure of SbPtW2 at the PBE level of DFT.

```
data_SbPtW2
_cell_length_a 3.461
_cell_length_b 3.461
_cell_length_c 5.864
_cell_angle_alpha 90.00
_cell_angle_beta 90.00
_cell_angle_gamma 90.00
_symmetry_space_group_name_H-M 'P 4 m m'
_symmetry_Int_Tables_number 99
loop_
_symmetry_equiv_pos_as_xyz
'x,y,z'
'-y,x,z'
'-x,-y,z'
'y,-x,z'
'-x,y,z'
'y,x,z'
'x,-y,z'
'-y,-x,z'
loop_
_atom_site_label
_atom_site_fract_x
_atom_site_fract_y
_atom_site_fract_z
Sb1 0.000 0.000 0.000
Pt1 0.500 0.500 0.767
W1 0.000 0.000 0.498
W2 0.500 0.500 0.294
```

Formation energy from raw total energies in eV per formula unit: 1.083
N(E_F) in states/eV/cell: 3.467